Run a
Computed, not measured: a relaxed CaDy2Ru crystal at the PBE level of DFT.

abc: 3.443 3.443 9.516
angles: 90.00 90.00 90.00
Atoms (fractional coordinates):
Ru1 0.500 0.500 0.000
Ca1 0.500 0.500 0.500
Dy1 0.000 0.000 0.828
Dy2 0.000 0.000 0.172

Calculated volume, A^3/atom: 28.20
D(E_F), states/eV/cell: 2.86
Total moment, μB/f.u.: 0.00
Space-group type: P4/mmm (123)


Run b
Computed, not measured: a relaxed CaDy2Ru crystal at the PBE level of DFT.

abc: 3.810 3.810 10.690
angles: 79.73 79.73 60.00
Atoms (fractional coordinates):
Ru1 0.500 0.500 0.500
Ca1 0.000 0.000 0.000
Dy1 0.115 0.115 0.654
Dy2 0.885 0.885 0.346

Calculated volume, A^3/atom: 32.88
D(E_F), states/eV/cell: 2.59
Total moment, μB/f.u.: 0.00
Space-group type: R-3m (166)


The data favor run a; the next most stable structure lies 23.8 kJ/mol of atoms above it.